(1)
# Li3GaSe3 | the Alexandria database | PBE-GGA | optimized geometry
data_Li3GaSe3
_chemical_formula_sum 'Li12 Ga4 Se12'
_space_group_name_H-M_alt 'P 1 21/c 1'
_space_group_IT_number 14
_space_group_name_Hall '-P 2ybc'
_cell_length_a 7.865
_cell_length_b 6.772
_cell_length_c 11.341
_cell_angle_alpha 90.00
_cell_angle_beta 95.55
_cell_angle_gamma 90.00
loop_
_atom_site_label
_atom_site_fract_x
_atom_site_fract_y
_atom_site_fract_z
_atom_site_occupancy
Li1 0.016 0.118 0.132 1
Li2 0.333 0.246 0.341 1
Li3 0.482 0.633 0.378 1
Ga1 0.192 0.619 0.056 1
Se1 0.072 0.016 0.356 1
Se2 0.248 0.536 0.514 1
Se3 0.430 0.025 0.671 1
# spin magnetization: 0.000 μB per atom
# crystal system: monoclinic
# formation energy from raw total energies: -6.99 eV per formula unit

---

(2)
# DyHo2Zn3 | the Alexandria database | PBE-GGA | optimized geometry
data_DyHo2Zn3
_chemical_formula_sum 'Dy1 Ho2 Zn3'
_space_group_name_H-M_alt 'P 4/m m m'
_space_group_IT_number 123
_space_group_name_Hall '-P 4 2'
_cell_length_a 3.563
_cell_length_b 3.563
_cell_length_c 10.654
_cell_angle_alpha 90.00
_cell_angle_beta 90.00
_cell_angle_gamma 90.00
loop_
_atom_site_label
_atom_site_fract_x
_atom_site_fract_y
_atom_site_fract_z
_atom_site_occupancy
Dy1 0.000 0.000 0.000 1
Ho1 0.000 0.000 0.334 1
Zn1 0.500 0.500 0.168 1
Zn2 0.500 0.500 0.500 1
# calculated formation energy: -0.34 eV/atom
# spin magnetization: 0.000 μB per atom
# crystal system: tetragonal

---

(3)
# TaRh2Au | the Alexandria database | PBE-GGA | optimized geometry
data_TaRh2Au
_chemical_formula_sum 'Ta3 Rh6 Au3'
_space_group_name_H-M_alt 'R 3 m'
_space_group_IT_number 160
_space_group_name_Hall 'R 3 -2"'
_cell_length_a 2.8444
_cell_length_b 2.8444
_cell_length_c 27.6974
_cell_angle_alpha 90.00
_cell_angle_beta 90.00
_cell_angle_gamma 120.00
loop_
_atom_site_label
_atom_site_fract_x
_atom_site_fract_y
_atom_site_fract_z
_atom_site_occupancy
Ta1 0.0000 0.0000 0.0000 1
Rh1 0.0000 0.0000 0.4934 1
Rh2 0.0000 0.0000 0.7463 1
Au1 0.0000 0.0000 0.2453 1
# calculated formation energy: 0.03 eV/atom
# spin magnetization: 0.302 μB per atom
# crystal system: trigonal

---

(4)
# Ce3NdZn8 | the Alexandria database | PBE-GGA | optimized geometry
data_Ce3NdZn8
_chemical_formula_sum 'Ce3 Nd1 Zn8'
_space_group_name_H-M_alt 'P 3 m 1'
_space_group_IT_number 156
_space_group_name_Hall 'P 3 -2"'
_cell_length_a 5.6619
_cell_length_b 5.6619
_cell_length_c 8.5487
_cell_angle_alpha 90.00
_cell_angle_beta 90.00
_cell_angle_gamma 120.00
loop_
_atom_site_label
_atom_site_fract_x
_atom_site_fract_y
_atom_site_fract_z
_atom_site_occupancy
Ce1 0.0000 0.0000 0.0000 1
Ce2 0.0000 0.0000 0.3360 1
Ce3 0.3333 0.6667 0.8613 1
Nd1 0.3333 0.6667 0.4909 1
Zn1 0.3267 0.1634 0.6718 1
Zn2 0.5009 0.0018 0.1720 1
Zn3 0.6667 0.3333 0.4237 1
Zn4 0.6667 0.3333 0.9192 1
# calculated formation energy: -0.27 eV/atom
# spin magnetization: 0.143 μB per atom
# excess energy over the best structure of this formula in the dataset: 0.07 eV/f.u.
# crystal system: trigonal